VASP calculation (meta-GGA SCAN) on a PBEsol-optimized structure of RbAlSiO4.

Unit cell a=8.7500 b=9.2166 c=5.3284 alpha=90.00 beta=90.00 gamma=90.00
Space group Pna2_1 (No. 33)
Asymmetric unit:
Rb1 0.0011 0.2061 0.0000
Al1 0.1882 0.5827 0.0223
Si1 0.1946 0.4163 0.5227
O1 0.0097 0.4158 0.5202
O2 0.2404 0.0356 0.2251
O3 0.2398 0.9577 0.7438
O4 0.2471 0.7563 0.1101

Output
D(E_F)   0.000 states/eV/atom
DFT total energy   -339.44 eV/cell
Size of the total moment   0.0 Bohr magnetons per cell
E_form (uncorrected)   -21.43 eV per formula unit



VASP calculation (meta-GGA SCAN) on a PBEsol-optimized structure of RbTi3AlO8.

Unit cell a=14.1145 b=2.9554 c=10.0099 alpha=90.00 beta=134.76 gamma=90.00
Space group Cm (No. 8)
Asymmetric unit:
Rb1 0.0000 0.0000 0.0000
Ti1 0.1586 0.5000 0.5168
Ti2 0.3346 0.0000 0.4887
Ti3 0.3346 0.5000 0.1644
Al1 0.1467 0.0000 0.8121
O1 0.0356 0.0000 0.3679
O2 0.1496 0.5000 0.9427
O3 0.1600 0.5000 0.7034
O4 0.2045 0.5000 0.3611
O5 0.2926 0.0000 0.6411
O6 0.3267 0.0000 0.2865
O7 0.3384 0.0000 0.0394
O8 0.4603 0.5000 0.6257

Output
D(E_F)   0.000 states/eV/atom
DFT total energy   -336.11 eV/cell
Size of the total moment   0.0 Bohr magnetons per cell
E_form (uncorrected)   -41.62 eV per formula unit



VASP calculation (meta-GGA SCAN) on a PBEsol-optimized structure of Al2ReO.

Unit cell a=5.6430 b=5.6430 c=6.7544 alpha=90.00 beta=90.00 gamma=90.00
Space group I-42d (No. 122)
Asymmetric unit:
Al1 0.1529 0.7500 0.1250
Re1 0.0000 0.0000 0.5000
O1 0.0000 0.0000 0.0000

Output
D(E_F)   0.780 states/eV/atom
DFT total energy   -380.87 eV/cell
Size of the total moment   0.0 Bohr magnetons per cell
E_form (uncorrected)   -2.38 eV per formula unit



VASP calculation (meta-GGA SCAN) on a PBEsol-optimized structure of AlReTc2O.

Unit cell a=4.7657 b=4.7657 c=3.6720 alpha=90.00 beta=90.00 gamma=90.00
Space group P4/mmm (No. 123)
Asymmetric unit:
Al1 0.0000 0.0000 0.0000
Re1 0.5000 0.5000 0.5000
Tc1 0.0000 0.5000 0.5000
O1 0.5000 0.5000 0.0000

Output
D(E_F)   1.017 states/eV/atom
DFT total energy   -151.35 eV/cell
Size of the total moment   0.0 Bohr magnetons per cell
E_form (uncorrected)   3.85 eV per formula unit